MnFeAu3, optimized geometry, DFT PBE; crystal system = cubic; space group = Pm-3m, No. 221
1.0
4.760 0.000 0.000
0.000 4.760 0.000
0.000 0.000 4.760
Mn Fe Au
1 1 3
Cartesian
0.000 0.000 0.000 Mn
2.380 2.380 2.380 Fe
0.000 2.380 2.380 Au
2.380 0.000 2.380 Au
2.380 2.380 0.000 Au

MnFe2Au, optimized geometry, DFT PBE; crystal system = tetragonal; space group = I-42d, No. 122
1.0
-3.224 3.224 2.578
3.224 -3.224 2.578
3.224 3.224 -2.578
Mn Fe Au
2 4 2
Cartesian
0.000 0.000 0.000 Mn
0.000 3.224 1.289 Mn
1.612 1.258 -0.644 Fe
1.966 -1.612 3.222 Fe
1.612 1.966 1.933 Fe
1.258 4.836 0.644 Fe
3.224 0.000 1.289 Au
0.000 0.000 2.578 Au

MnFe2Au, optimized geometry, DFT PBE; crystal system = tetragonal; space group = I-4m2, No. 119
1.0
-1.910 1.910 3.838
1.910 -1.910 3.838
1.910 1.910 -3.838
Mn Fe Au
1 2 1
Cartesian
0.000 0.000 0.000 Mn
1.910 0.000 1.919 Fe
0.000 0.000 3.838 Fe
0.000 1.910 1.919 Au

MnFeAu, optimized geometry, DFT PBE; crystal system = cubic; space group = F-43m, No. 216
1.0
0.000 2.959 2.959
2.959 0.000 2.959
2.959 2.959 0.000
Mn Fe Au
1 1 1
Cartesian
0.000 0.000 0.000 Mn
4.439 4.439 4.439 Fe
2.959 2.959 2.959 Au

MnFe2Au, optimized geometry, DFT PBE; crystal system = tetragonal; space group = I4/mmm, No. 139
1.0
-1.860 1.860 4.073
1.860 -1.860 4.073
1.860 1.860 -4.073
Mn Fe Au
1 2 1
Cartesian
0.000 0.000 0.000 Mn
1.860 0.000 2.037 Fe
0.000 1.860 2.037 Fe
0.000 0.000 4.073 Au

MnFe2Au, optimized geometry, DFT PBE; crystal system = orthorhombic; space group = Cmmm, No. 65
1.0
2.666 -3.894 0.000
2.666 3.894 0.000
0.000 0.000 2.729
Mn Fe Au
1 2 1
Cartesian
0.000 0.000 0.000 Mn
1.333 1.947 1.365 Fe
1.333 -1.947 1.365 Fe
2.666 0.000 0.000 Au

no.,formation energy (kJ per mole of atoms)
1,100.0
2,64.2
3,17.9
4,51.6
5,15.9
6,26.1